No. 1
Entry from Alexandria: crystalline TcSbIr3 at its relaxed geometry (GGA-PBE).

Cell lengths 4.7353, 4.7353, 4.7353 Å; angles 90.00, 90.00, 90.00 degrees
Closest atoms and distances in Å follow each position.
Sites, in units of the cell vectors:
1 Ir 0.0000 0.0000 0.5000  2 Tc 2.37
2 Ir 0.5000 0.0000 0.0000  2 Tc 2.37
3 Sb 0.5000 0.5000 0.5000  12 Ir 3.35
4 Tc 0.0000 0.0000 0.0000  6 Ir 2.37
5 Ir 0.0000 0.5000 0.0000  2 Tc 2.37

Values from the calculation:
**Energy above the lowest structure with this stoichiometry**: 0.00 eV/f.u.
**Uncorrected energy**: -6.763 eV/atom
**Formation energy from raw total energies**: 1.45 eV/atom
**Magnetic moment**: 0.000 μB per cell


No. 2
Entry from Alexandria: crystalline CoPtCl2 at its relaxed geometry (GGA-PBE).

Cell lengths 11.8420, 11.8420, 11.8420 Å; angles 13.60, 13.60, 13.60 degrees
Closest atoms and distances in Å follow each position.
Sites, in units of the cell vectors:
1 Pt 0.5000 0.5000 0.5000  6 Pt 2.80
2 Cl 0.0597 0.0597 0.0597  1 Co 2.10
3 Cl 0.9403 0.9403 0.9403  1 Co 2.10
4 Co 0.0000 0.0000 0.0000  2 Cl 2.10

Values from the calculation:
**Energy above the lowest structure with this stoichiometry**: 2.35 eV/f.u.
**Uncorrected energy**: -3.715 eV/atom
**Formation energy from raw total energies**: 0.49 eV/atom
**Magnetic moment**: 1.903 μB per cell


No. 3
Entry from Alexandria: crystalline Nb2CrCu at its relaxed geometry (GGA-PBE).

Cell lengths 3.0276, 3.0276, 8.2337 Å; angles 79.41, 79.41, 60.00 degrees
Closest atoms and distances in Å follow each position.
Sites, in units of the cell vectors:
1 Cr 0.5000 0.5000 0.5000  6 Nb 2.58
2 Nb 0.7549 0.7549 0.7352  3 Cr 2.58, 3 Cu 2.76
3 Nb 0.2451 0.2451 0.2648  3 Cr 2.58, 3 Cu 2.76
4 Cu 0.0000 0.0000 0.0000  6 Nb 2.76, 6 Cu 3.03

Values from the calculation:
**Energy above the lowest structure with this stoichiometry**: 1.12 eV/f.u.
**Uncorrected energy**: -8.092 eV/atom
**ΔH_f (0 K)**: 373 meV per atom
**Magnetic moment**: 0.000 μB per cell